No. 1
# PBE La2Zn4AgGe3, relaxed
data_La2Zn4AgGe3
_chemical_formula_sum 'La2 Zn4 Ag1 Ge3'
_space_group_name_H-M_alt 'P -4 m 2'
_space_group_IT_number 115
_space_group_name_Hall 'P -4 -2'
_cell_length_a 4.329
_cell_length_b 4.329
_cell_length_c 10.760
_cell_angle_alpha 90.00
_cell_angle_beta 90.00
_cell_angle_gamma 90.00
loop_
_atom_site_label
_atom_site_fract_x
_atom_site_fract_y
_atom_site_fract_z
La1 0.000 0.500 0.246
Zn1 0.000 0.000 0.000
Zn2 0.000 0.500 0.633
Zn3 0.500 0.500 0.000
Ag1 0.000 0.000 0.500
Ge1 0.000 0.500 0.864
Ge2 0.500 0.500 0.500
# - M_tot: 0.00 μB/cell
# - Raw total energy: -3.617 eV/atom

No. 2
# PBE Li2Ag6Ge, relaxed
data_Li2Ag6Ge
_chemical_formula_sum 'Li4 Ag12 Ge2'
_space_group_name_H-M_alt 'C 1 2/m 1'
_space_group_IT_number 12
_space_group_name_Hall '-C 2y'
_cell_length_a 8.810
_cell_length_b 4.270
_cell_length_c 8.486
_cell_angle_alpha 90.00
_cell_angle_beta 106.04
_cell_angle_gamma 90.00
loop_
_atom_site_label
_atom_site_fract_x
_atom_site_fract_y
_atom_site_fract_z
Li1 0.168 0.000 0.224
Ag1 0.000 0.500 0.328
Ag2 0.163 0.000 0.894
Ag3 0.165 0.000 0.553
Ge1 0.000 0.500 0.000
# - M_tot: 0.00 μB/cell
# - Raw total energy: -2.949 eV/atom

Asked for ΔH_f (0 K) across the records above, the calculation gives -0.45, -0.11 eV per atom in order.